# Be3FeSn

An optimized crystal structure of Be3FeSn (PBE-GGA, Alexandria).

POSCAR file:
```
Be3FeSn
1.0
4.379 0.000 0.000
0.000 4.379 0.000
0.000 0.000 4.379
Be Fe Sn
3 1 1
direct
0.000 0.000 0.500
0.000 0.500 0.000
0.500 0.000 0.000
0.500 0.500 0.500
0.000 0.000 0.000
```

Output
The energy above the lowest structure with this stoichiometry is 22.81 kcal/mol of atoms. As for the formation energy: 1.6126 eV/atom. As for the symmetry: No. 221. As for the crystal system: cubic.